[1]
VASP calculation (SCAN) on a PBEsol-optimized structure of Al2CoSb.

Calculated values
Volume = 67.6 Å³ per cell
Formation energy without anion corrections = 97 meV/atom
VASP energy = -17.42 eV/atom
Crystal system = trigonal
Density = 5.76 g/cm3
D(E_F) = 2.22 states/eV/f.u.
Space-group type = No. 166

a = 3.060 Å, b = 3.060 Å, c = 8.525 Å
α = 79.66°, β = 79.66°, γ = 60.00°
Fractional positions:
Al  0.769  0.769  0.693
Al  0.231  0.231  0.307
Co  0.500  0.500  0.500
Sb  0.000  0.000  0.000

---

[2]
VASP calculation (SCAN) on a PBEsol-optimized structure of LiHf2SiI.

Calculated values
Volume = 98.1 Å³ per cell
Formation energy without anion corrections = 915 meV/atom
VASP energy = -33.98 eV/atom
Crystal system = tetragonal
Density = 8.78 g/cm3
D(E_F) = 2.36 states/eV/f.u.
Space-group type = No. 123

a = 4.202 Å, b = 4.832 Å, c = 4.832 Å
α = 90.00°, β = 90.00°, γ = 90.00°
Fractional positions:
Li  0.000  0.000  0.000
Hf  0.000  0.500  0.000
I  0.500  0.000  0.000
Hf  0.000  0.000  0.500
Si  0.500  0.500  0.500